[1]
HfAlCu | PBE | optimized geometry

## Properties
As for the formation energy: -0.35 eV/atom.

Cell: 4.2560 4.2560 3.1756 Å, 90.00 90.00 120.00°
Space group P3m1 (No. 156)
Asymmetric unit:
Hf: 0.0000 0.0000 0.0000 x1
Al: 0.6667 0.3333 0.4996 x1
Cu: 0.3333 0.6667 0.5019 x1

=====

[2]
HfAlCu | PBE | optimized geometry

## Properties
As for the formation energy: 0.39 eV/atom.

Cell: 2.808 2.808 14.621 Å, 90.00 90.00 90.00°
Space group I4mm (No. 107)
Asymmetric unit:
Hf: 0.000 0.000 0.000 x2
Al: 0.000 0.000 0.646 x2
Cu: 0.000 0.000 0.816 x2

=====

[3]
HfAlCu2 | PBE | optimized geometry

## Properties
As for the formation energy: -0.17 eV/atom.

Cell: 4.257 4.257 3.410 Å, 90.00 90.00 90.00°
Space group P4/mmm (No. 123)
Asymmetric unit:
Hf: 0.000 0.000 0.000 x1
Al: 0.500 0.500 0.000 x1
Cu: 0.000 0.500 0.500 x2

=====

[4]
HfAl3Cu | PBE | optimized geometry

## Properties
The calculation puts the polymorph energy (0 for the lowest one) at 0.000 eV/atom. As for the formation energy: -0.19 eV/atom.

Cell: 4.342 23.620 3.311 Å, 90.00 90.00 90.00°
Space group Cmmm (No. 65)
Asymmetric unit:
Hf: 0.000 0.169 0.000 x4
Al: 0.000 0.060 0.500 x4
Al: 0.000 0.277 0.500 x4
Al: 0.000 0.447 0.000 x4
Cu: 0.000 0.376 0.500 x4

=====

[5]
HfAl6Cu | PBE | optimized geometry

## Properties
As for the formation energy: -0.14 eV/atom.

Cell: 5.737 5.737 4.017 Å, 90.00 90.00 90.00°
Space group P4/mmm (No. 123)
Asymmetric unit:
Hf: 0.000 0.000 0.000 x1
Al: 0.000 0.500 0.000 x2
Al: 0.256 0.256 0.500 x4
Cu: 0.500 0.500 0.000 x1

=====

[6]
HfAlCu | PBE | optimized geometry

## Properties
As for the formation energy: -0.26 eV/atom.

Cell: 3.920 3.928 6.562 Å, 90.00 90.14 90.00°
Space group P2_1/m (No. 11)
Asymmetric unit:
Hf: 0.248 0.250 0.164 x2
Al: 0.251 0.250 0.733 x2
Cu: 0.250 0.750 0.500 x2

=====

[7]
Hf2Al2Cu | PBE | optimized geometry

## Properties
The calculation puts the polymorph energy (0 for the lowest one) at 0.000 eV/atom. As for the formation energy: -0.32 eV/atom.

Cell: 6.364 6.364 4.326 Å, 90.00 90.00 90.00°
Space group P4/mbm (No. 127)
Asymmetric unit:
Hf: 0.166 0.334 0.000 x4
Al: 0.141 0.641 0.500 x4
Cu: 0.000 0.000 0.500 x2

=====

[8]
HfAlCu | PBE | optimized geometry

## Properties
As for the formation energy: 0.48 eV/atom.

Cell: 6.267 6.267 6.267 Å, 90.00 90.00 90.00°
Space group F-43m (No. 216)
Asymmetric unit:
Hf: 0.000 0.000 0.000 x4
Al: 0.250 0.250 0.250 x4
Cu: 0.250 0.250 0.750 x4

=====

[9]
HfAlCu | PBE | optimized geometry

## Properties
As for the formation energy: -0.30 eV/atom.

Cell: 4.479 7.779 5.609 Å, 90.00 90.00 90.00°
Space group Cmcm (No. 63)
Asymmetric unit:
Hf: 0.000 0.167 0.250 x4
Al: 0.000 0.500 0.000 x4
Cu: 0.000 0.165 0.750 x4

=====

[10]
HfAl3Cu | PBE | optimized geometry

## Properties
The calculation puts the polymorph energy (0 for the lowest one) at 1.474 eV/atom. As for the formation energy: 1.29 eV/atom.

Cell: 5.200 5.200 5.200 Å, 90.00 90.00 90.00°
Space group Pm-3m (No. 221)
Asymmetric unit:
Hf: 0.000 0.000 0.000 x1
Al: 0.000 0.000 0.500 x3
Cu: 0.500 0.500 0.500 x1

=====

[11]
Hf2Al3Cu4 | PBE | optimized geometry

## Properties
As for the formation energy: -0.27 eV/atom.

Cell: 5.314 14.720 7.052 Å, 90.00 90.00 90.00°
Space group Cmce (No. 64)
Asymmetric unit:
Hf: 0.000 0.097 0.103 x8
Al: 0.000 0.000 0.500 x4
Al: 0.250 0.239 0.750 x8
Cu: 0.000 0.168 0.485 x8
Cu: 0.250 0.070 0.750 x8

=====

[12]
HfAlCu | PBE | optimized geometry

## Properties
As for the formation energy: -0.27 eV/atom.

Cell: 3.821 3.821 6.836 Å, 90.00 90.00 90.00°
Space group P4/nmm (No. 129, origin choice 2)
Asymmetric unit:
Hf: 0.250 0.250 0.139 x2
Al: 0.250 0.750 0.500 x2
Cu: 0.250 0.250 0.743 x2